Entry 1:
{"formula": "ThGa2Co2Ge", "functional": "PBE", "state": "relaxed", "magnetic_moment_mub_per_cell": 0.97, "delta_e_f_kj_per_mol_fu": -105, "lattice_angstrom": [[4.356, 0.000, 0.000], [0.000, 4.356, 0.000], [0.000, 0.000, 5.682]], "species": ["Th", "Ga", "Ga", "Co", "Co", "Ge"], "frac_coords": [[0.000, 0.000, 0.500], [0.500, 0.500, 0.744], [0.500, 0.500, 0.256], [0.500, 0.000, 0.000], [0.000, 0.500, 0.000], [0.000, 0.000, 0.000]]}

Entry 2:
{"formula": "KCo2Tc", "functional": "PBE", "state": "relaxed", "de_polymorph_kcal_per_mol_atoms": 3.37, "magnetic_moment_mub_per_cell": 2.94, "delta_e_f_kj_per_mol_fu": 322, "lattice_angstrom": [[3.946, 0.000, 0.000], [0.000, 2.641, 0.121], [0.000, 0.973, 7.393]], "species": ["Co", "Co", "K", "Tc"], "frac_coords": [[0.000, 0.156, 0.985], [0.500, 0.143, 0.157], [0.000, 0.461, 0.491], [0.500, 0.740, 0.867]]}

Entry 3:
{"formula": "RbBe2SbF8", "functional": "PBE", "state": "relaxed", "magnetic_moment_mub_per_cell": 0.00, "formation_energy_uncorrected_ev_per_atom": -2.87, "lattice_angstrom": [[5.050, 0.000, 0.000], [2.525, 4.373, 0.000], [2.525, 1.458, 8.471]], "species": ["Rb", "Be", "Be", "Sb", "F", "F", "F", "F", "F", "F", "F", "F"], "frac_coords": [[0.000, 0.000, 0.000], [0.754, 0.754, 0.738], [0.246, 0.246, 0.262], [0.500, 0.500, 0.500], [0.696, 0.696, 0.913], [0.304, 0.304, 0.087], [0.503, 0.242, 0.334], [0.758, 0.497, 0.666], [0.080, 0.758, 0.666], [0.242, 0.920, 0.334], [0.920, 0.503, 0.334], [0.497, 0.080, 0.666]]}

Entry 4:
{"formula": "HRhSe2N", "functional": "PBE", "state": "relaxed", "de_polymorph_kcal_per_mol_atoms": 0.00, "magnetic_moment_mub_per_cell": 0.00, "lattice_angstrom": [[-3.866, 0.328, 2.777], [2.574, -1.432, 3.754], [0.625, 2.596, 0.562]], "species": ["H", "Rh", "Se", "Se", "N"], "frac_coords": [[0.000, 0.000, 0.000], [0.500, 0.500, 0.500], [0.000, 0.500, 0.000], [0.500, 0.000, 0.000], [0.000, 0.000, 0.500]]}